No. 1
{
  "formula": "Sr2MgZn",
  "functional": "GGA-PBE",
  "state": "optimized geometry",
  "vol_a3_per_cell": 152.2,
  "delta_e_f_ev_per_atom": 0.055,
  "crystal_system": "monoclinic",
  "cell": [[3.6120, -2.1421, 0.0000], [3.6120, 2.1421, 0.0000], [-2.5936, 0.0000, 9.8331]],
  "species": ["Sr", "Sr", "Mg", "Zn"],
  "fractional_positions": [[0.2404, 0.2404, 0.2215], [0.7596, 0.7596, 0.7785], [0.0000, 0.0000, 0.5000], [0.5000, 0.5000, 0.0000]]
}

No. 2
{
  "formula": "NaPr6Te8",
  "functional": "GGA-PBE",
  "state": "optimized geometry",
  "vol_a3_per_cell": 587.6,
  "crystal_system": "trigonal",
  "formation_energy_uncorrected_ev_per_fu": -19.485,
  "cell": [[12.1013, 0.0000, 0.0000], [-6.0507, 10.4800, 0.0000], [0.0000, 0.0000, 4.6334]],
  "species": ["Na", "Pr", "Pr", "Pr", "Pr", "Pr", "Pr", "Te", "Te", "Te", "Te", "Te", "Te", "Te", "Te"],
  "fractional_positions": [[0.0000, 0.0000, 0.0000], [0.1349, 0.6512, 0.7495], [0.3488, 0.4837, 0.7495], [0.4837, 0.1349, 0.2505], [0.5163, 0.8651, 0.7495], [0.6512, 0.5163, 0.2505], [0.8651, 0.3488, 0.2505], [0.0451, 0.3478, 0.7512], [0.3028, 0.9549, 0.7512], [0.3333, 0.6667, 0.2497], [0.3478, 0.3028, 0.2488], [0.6522, 0.6972, 0.7512], [0.6667, 0.3333, 0.7503], [0.6972, 0.0451, 0.2488], [0.9549, 0.6522, 0.2488]]
}

No. 3
{
  "formula": "Nd2MgBe3Pt4",
  "functional": "GGA-PBE",
  "state": "optimized geometry",
  "vol_a3_per_cell": 172.1,
  "delta_e_f_ev_per_atom": -0.841,
  "crystal_system": "tetragonal",
  "cell": [[4.0781, 0.0000, 0.0000], [0.0000, 4.0781, 0.0000], [0.0000, 0.0000, 10.3479]],
  "species": ["Nd", "Nd", "Mg", "Be", "Be", "Be", "Pt", "Pt", "Pt", "Pt"],
  "fractional_positions": [[0.0000, 0.5000, 0.2366], [0.5000, 0.0000, 0.7634], [0.0000, 0.0000, 0.5000], [0.0000, 0.5000, 0.8867], [0.5000, 0.0000, 0.1133], [0.5000, 0.5000, 0.5000], [0.0000, 0.0000, 0.0000], [0.0000, 0.5000, 0.6533], [0.5000, 0.0000, 0.3467], [0.5000, 0.5000, 0.0000]]
}